MoSeI2O PBE+U optimized geometry; E_tot = -3.39 eV/atom; DOS(E_F) = 0.304 states/eV per atom
1.0
5.959 0.000 0.000
0.000 5.959 0.000
0.000 0.000 3.840
Mo Se I O
1 1 2 1
direct
0.000 0.000 0.000
0.500 0.500 0.500
0.000 0.500 0.500
0.500 0.000 0.500
0.500 0.500 0.000